! Ba2SnI PBE relaxed; values from VASP
&SYSTEM
  ibrav = 0, nat = 4, ntyp = 3
/
ATOMIC_SPECIES
I 126.90 I.upf
Ba 137.33 Ba.upf
Sn 118.71 Sn.upf
ATOMIC_POSITIONS angstrom
I 4.917 2.839 4.489
Ba 2.459 1.419 2.059
Ba 7.376 4.258 6.920
Sn 0.000 0.000 0.000
CELL_PARAMETERS angstrom
4.917 0.000 0.000
2.459 4.258 0.000
2.459 1.419 8.979
! DOS(E_F)   3.3 states/eV/cell
! Calculated density   4.60 g/cm³
! Energy relative to the lowest polymorph listed for this composition   0.970 kcal/mol of atoms
! ΔE_f (raw)   -0.989 eV per atom
! Calculated total energy   -0.1227 hartree per atom
! Symmetry   R-3m, No. 166